AsOs2F | PBE-GGA | optimized geometry

Lattice parameters (Å, degrees): 4.210 4.210 4.210 60.00 60.00 60.00
Fractional positions:
As (0.000, 0.000, 0.000)
Os (0.250, 0.250, 0.250)
Os (0.750, 0.750, 0.750)
F (0.500, 0.500, 0.500)

Symmetry   Fm-3m
Electronic total energy   -27.32 eV/cell
Energy relative to the elements, uncorrected   0.416 eV/atom
Distance to the lowest polymorph of the same formula   0.18 eV per formula unit
Total moment   0.0000 μB/atom